(1)
This record from Alexandria via LeMat-Bulk describes an optimized crystal structure of SrZrSc2. The functional is GGA-PBEsol.

Lattice parameters (Å, degrees): 5.6188 5.6188 5.6188 128.60 128.60 75.65
Positions (direct):
Sr: 0.0000 0.0000 0.0000
Zr: 0.5000 0.5000 0.0000
Sc: 0.2500 0.7500 0.5000
Sc: 0.7500 0.2500 0.5000

Output
- Space-group type: No. 139
- E: -0.4159 Ry per atom
- E above lowest polymorph: 0.000 eV per atom
- DOS(E_F): 6.10 states/eV per cell
- Formation enthalpy at 0 K: 1.51 eV/f.u.

(2)
This record from Alexandria via LeMat-Bulk describes an optimized crystal structure of SrZr2Sc. The functional is GGA-PBEsol.

Lattice parameters (Å, degrees): 5.6803 5.6803 6.0528 96.86 96.86 32.79
Positions (direct):
Sr: 0.0000 0.0000 0.0000
Zr: 0.2409 0.2409 0.7086
Zr: 0.7591 0.7591 0.2914
Sc: 0.5000 0.5000 0.5000

Output
- Space-group type: No. 12
- E: -0.4629 Ry per atom
- E above lowest polymorph: 0.107 eV per atom
- DOS(E_F): 5.98 states/eV per cell
- Formation enthalpy at 0 K: 1.43 eV/f.u.

(3)
This record from Alexandria via LeMat-Bulk describes an optimized crystal structure of SrZrSc2. The functional is GGA-PBEsol.

Lattice parameters (Å, degrees): 6.5047 6.5047 6.5047 149.41 129.29 60.40
Positions (direct):
Sr: 0.0000 0.0000 0.0000
Zr: 0.2724 0.7724 0.5000
Sc: 0.4961 0.4961 0.0000
Sc: 0.7297 0.2297 0.5000

Output
- Space-group type: No. 44
- E: -0.4148 Ry per atom
- E above lowest polymorph: 0.015 eV per atom
- DOS(E_F): 6.66 states/eV per cell
- Formation enthalpy at 0 K: 1.57 eV/f.u.

(4)
This record from Alexandria via LeMat-Bulk describes an optimized crystal structure of ScTa3. The functional is GGA-PBEsol.

Lattice parameters (Å, degrees): 2.8704 2.8704 9.5499 90.00 90.00 109.57
Positions (direct):
Sc: 0.0000 0.0000 0.0000
Ta: 0.0000 0.0000 0.5000
Ta: 0.5000 0.5000 0.2641
Ta: 0.5000 0.5000 0.7359

Output
- Space-group type: No. 65
- E: -0.8041 Ry per atom
- E above lowest polymorph: 0.000 eV per atom
- DOS(E_F): 5.02 states/eV per cell
- Formation enthalpy at 0 K: 0.50 eV/f.u.

(5)
This record from Alexandria via LeMat-Bulk describes an optimized crystal structure of ScTa3. The functional is GGA-PBEsol.

Lattice parameters (Å, degrees): 5.5640 5.5640 5.5640 117.24 117.24 117.24
Positions (direct):
Sc: 0.0000 0.0000 0.0000
Ta: 0.0000 0.5000 0.5000
Ta: 0.5000 0.0000 0.5000
Ta: 0.5000 0.5000 0.0000

Output
- Space-group type: No. 166
- E: -0.8008 Ry per atom
- E above lowest polymorph: 0.045 eV per atom
- DOS(E_F): 5.37 states/eV per cell
- Formation enthalpy at 0 K: 0.68 eV/f.u.

(6)
This record from Alexandria via LeMat-Bulk describes an optimized crystal structure of ScTa3. The functional is GGA-PBEsol.

Lattice parameters (Å, degrees): 3.3238 3.3238 6.8551 90.00 90.00 90.00
Positions (direct):
Sc: 0.0000 0.0000 0.0000
Ta: 0.0000 0.0000 0.5000
Ta: 0.5000 0.5000 0.2820
Ta: 0.5000 0.5000 0.7180

Output
- Space-group type: No. 123
- E: -0.8005 Ry per atom
- E above lowest polymorph: 0.048 eV per atom
- DOS(E_F): 5.35 states/eV per cell
- Formation enthalpy at 0 K: 0.69 eV/f.u.

(7)
This record from Alexandria via LeMat-Bulk describes an optimized crystal structure of ScTa. The functional is GGA-PBEsol.

Lattice parameters (Å, degrees): 5.4705 5.4705 5.4705 142.01 126.78 67.24
Positions (direct):
Sc: 0.3650 0.1150 0.2500
Sc: 0.6350 0.8850 0.7500
Ta: 0.1045 0.3545 0.7500
Ta: 0.8955 0.6455 0.2500

Output
- Space-group type: No. 74
- E: -0.6859 Ry per atom
- E above lowest polymorph: 0.133 eV per atom
- DOS(E_F): 4.30 states/eV per cell
- Formation enthalpy at 0 K: 0.49 eV/f.u.

(8)
This record from Alexandria via LeMat-Bulk describes an optimized crystal structure of ScTa. The functional is GGA-PBEsol.

Lattice parameters (Å, degrees): 2.9712 4.8543 5.4712 90.00 90.00 90.00
Positions (direct):
Sc: 0.2500 0.2500 0.1033
Sc: 0.7500 0.7500 0.8967
Ta: 0.2500 0.7500 0.4218
Ta: 0.7500 0.2500 0.5782

Output
- Space-group type: No. 59
- E: -0.6907 Ry per atom
- E above lowest polymorph: 0.068 eV per atom
- DOS(E_F): 3.19 states/eV per cell
- Formation enthalpy at 0 K: 0.36 eV/f.u.